No. 1
# CuAuS2

A geometry-optimized CuAuS2 structure (PBE, Alexandria).

magnetization: 0.83 μB per formula unit
volume: 260.76 Å³ per cell
formation energy (no corrections): 0.591 eV/atom
total energy: -53.1 eV for the cell shown

Cell lengths 6.3887, 6.3887, 6.3887 Å; angles 90.00, 90.00, 90.00 degrees
Last column: nearest neighbours and their distance in Å.
Space group Fm-3m (No. 225)
One atom of each set of equivalent atoms:
1 Cu 0.0000 0.0000 0.0000 x4  8 S 2.77
2 Au 0.0000 0.0000 0.5000 x4  8 S 2.77
3 S 0.2500 0.2500 0.2500 x8  4 Cu 2.77, 4 Au 2.77

No. 2
# BaTe3N

A geometry-optimized BaTe3N structure (PBE, Alexandria).

magnetization: 7.00 μB per formula unit
volume: 314.67 Å³ per cell
formation energy (no corrections): 1.183 eV/atom
total energy: -13.8 eV for the cell shown

Cell lengths 6.8017, 6.8017, 6.8017 Å; angles 90.00, 90.00, 90.00 degrees
Last column: nearest neighbours and their distance in Å.
Space group Pm-3m (No. 221)
One atom of each set of equivalent atoms:
1 Ba 0.0000 0.0000 0.0000 x1  6 Te 3.40
2 Te 0.0000 0.0000 0.5000 x3  2 Ba 3.40
3 N 0.5000 0.5000 0.5000 x1  12 Te 4.81

No. 3
# Y4FeI5

A geometry-optimized Y4FeI5 structure (PBE, Alexandria).

magnetization: 0.49 μB per formula unit
volume: 702.14 Å³ per cell
formation energy (no corrections): -0.963 eV/atom
total energy: -103.4 eV for the cell shown

Cell lengths 19.2540, 4.0681, 9.2154 Å; angles 90.00, 103.40, 90.00 degrees
Last column: nearest neighbours and their distance in Å.
Space group C2/m (No. 12)
One atom of each set of equivalent atoms:
1 Y 0.9996 0.0000 0.2162 x4  2 Fe 2.85, 1 I 3.14
2 Y 0.1289 0.5000 0.0655 x4  1 Fe 2.42
3 Fe 0.0000 0.5000 0.0000 x2  2 Y 2.42
4 I 0.0000 0.5000 0.5000 x2  4 Y 3.31
5 I 0.1664 0.0000 0.3300 x4  3 Y 3.13-3.14
6 I 0.1705 0.0000 0.8381 x4  3 Y 3.15-3.20

No. 4
# VCo2Ge

A geometry-optimized VCo2Ge structure (PBE, Alexandria).

magnetization: 0.00 μB per formula unit
volume: 47.50 Å³ per cell
E_form: -0.45 eV per formula unit
total energy: -28.4 eV for the cell shown

Cell lengths 2.6943, 2.6943, 6.5436 Å; angles 90.00, 90.00, 90.00 degrees
Last column: nearest neighbours and their distance in Å.
Space group P4/mmm (No. 123)
One atom of each set of equivalent atoms:
1 V 0.0000 0.0000 0.0000 x1  8 Co 2.59, 4 V 2.69
2 Co 0.5000 0.5000 0.2671 x2  4 Ge 2.44, 4 V 2.59, 4 Co 2.69
3 Ge 0.0000 0.0000 0.5000 x1  8 Co 2.44, 4 Ge 2.69